Computed, not measured: a relaxed Sr2Y2Fe crystal at the GGA-PBE level of DFT.

Cell and atoms, written as POSCAR:
```
Sr2Y2Fe
1.0
7.282 0.000 0.000
0.000 7.282 0.000
0.000 0.000 6.466
Fe Sr Y
2 4 4
direct
0.000 0.000 0.000 Fe
0.500 0.500 0.000 Fe
0.178 0.678 0.500 Sr
0.822 0.322 0.500 Sr
0.678 0.822 0.500 Sr
0.322 0.178 0.500 Sr
0.175 0.325 0.000 Y
0.675 0.175 0.000 Y
0.825 0.675 0.000 Y
0.325 0.825 0.000 Y
```

Results
DFT formation energy in eV/atom: 0.3791
Size of the total moment in μB/f.u.: 0.5
Total energy in eV per cell: -45.718
SG: P4/mbm